A geometry-optimized ReTc2Ir structure, computed with PBE-GGA.

Cell and atoms, written as POSCAR:
```
ReTc2Ir
1.0
2.7304 0.0000 0.0000
0.0000 3.9021 0.0000
0.0000 0.0000 5.4988
Re Tc Ir
1 2 1
Cartesian
0.0000 0.0000 0.0000
0.0000 0.0000 2.6524
1.3652 1.9511 1.3601
1.3652 1.9511 4.0905
```

Results
symmetry	Pmm2
spin magnetization	0.00	μB per formula unit
energy of formation	-0.0596	eV/atom

---

A geometry-optimized VCo2Rh3 structure, computed with PBE-GGA.

Cell and atoms, written as POSCAR:
```
VCo2Rh3
1.0
2.1720 -6.6021 0.0000
2.1720 6.6021 0.0000
0.0000 0.0000 5.5545
V Co Rh
2 4 6
Cartesian
2.1720 4.5193 0.0000
2.1720 -4.5193 0.0000
2.1720 4.5024 2.7773
2.1720 0.0000 0.0000
2.1720 0.0000 2.7773
2.1720 -4.5024 2.7773
0.0000 0.0000 1.4035
0.0000 0.0000 4.1510
2.1720 2.3301 1.3984
2.1720 2.3301 4.1561
2.1720 -2.3301 1.3984
2.1720 -2.3301 4.1561
```

Results
symmetry	Cmmm
spin magnetization	4.57	μB per formula unit
energy of formation	-0.0374	eV/atom

---

A geometry-optimized Ca2LaPaP4 structure, computed with PBE-GGA.

Cell and atoms, written as POSCAR:
```
Ca2LaPaP4
1.0
7.0841 0.0000 0.0000
0.0000 4.1767 0.0000
-2.4423 0.0000 6.8078
Ca La Pa P
2 1 1 4
Cartesian
0.0000 0.0000 0.0000
-1.2211 2.0884 3.4039
2.3209 0.0000 3.4039
3.5420 2.0884 0.0000
1.3008 2.0884 1.5970
0.0243 0.0000 5.2537
4.6175 0.0000 1.5541
3.3410 2.0884 5.2108
```

Results
symmetry	P2/m
spin magnetization	0.00	μB per formula unit
energy of formation	-1.3168	eV/atom